(1)
19
Lattice="4.2178 2.4351 4.2026 -4.2178 2.4351 4.2026 0.0000 -4.8703 4.2026" Properties=species:S:1:pos:R:3 comment="PBE Pm2Al2Fe15, relaxed" formation_enthalpy_0k_ev_per_atom=-0.052 total_energy_ev_per_atom=-7.63 n_ef_per_ev_atom=1.1006 pbc="T T T"
Pm 0.0000 0.0000 1.9284
Pm 0.0000 0.0000 10.6793
Al 0.0000 0.0000 5.0245
Al 0.0000 0.0000 7.5832
Fe -2.1089 -1.2176 4.2026
Fe 0.0000 -2.4266 4.1084
Fe -2.1015 1.2133 4.1084
Fe -1.2353 -2.1396 6.3038
Fe -2.4706 0.0000 6.3038
Fe -2.1015 -1.2133 8.4992
Fe -2.1089 1.2176 8.4051
Fe 1.2353 -2.1396 6.3038
Fe 0.0000 2.4351 4.2026
Fe -1.2353 2.1396 6.3038
Fe 2.1015 1.2133 4.1085
Fe 2.4706 0.0000 6.3038
Fe 1.2353 2.1396 6.3038
Fe 2.1015 -1.2133 8.4992
Fe 0.0000 2.4266 8.4992

=====

(2)
14
Lattice="1.8831 -6.1288 0.0000 1.8831 6.1288 0.0000 0.0000 0.0000 12.6541" Properties=species:S:1:pos:R:3 comment="PBE Er4TeC2, relaxed" relative_energy_mev_per_atom=0.0 e_form_raw_ev_per_atom=-0.626 total_energy_ev_per_atom=-6.32 n_ef_per_ev_atom=0.4591 pbc="T T T"
Er 0.0000 0.0000 0.0000
Er 0.0000 0.0000 6.3270
Er 1.8831 2.9791 7.6194
Er 1.8831 2.9791 11.3616
Er 1.8831 1.0382 3.1635
Er 1.8831 -1.0382 9.4905
Er 1.8831 -2.9791 1.2924
Er 1.8831 -2.9791 5.0346
Te 1.8831 4.8000 3.1635
Te 1.8831 -4.8000 9.4905
C 1.8831 1.6579 0.7463
C 1.8831 1.6579 5.5807
C 1.8831 -1.6579 7.0734
C 1.8831 -1.6579 11.9077

=====

(3)
4
Lattice="3.1474 0.0000 0.0000 0.0000 3.1474 0.0000 0.0000 0.0000 7.2510" Properties=species:S:1:pos:R:3 comment="PBE Sc2TiCo, relaxed" relative_energy_mev_per_atom=33.7 formation_enthalpy_0k_ev_per_atom=-0.086 total_energy_ev_per_atom=-7.00 n_ef_per_ev_atom=1.2270 pbc="T T T"
Sc 0.0000 0.0000 1.5240
Sc 0.0000 0.0000 5.7269
Ti 1.5737 1.5737 3.6255
Co 1.5737 1.5737 0.0000

=====

(4)
16
Lattice="7.8993 0.0000 0.0000 0.0000 6.9491 0.0000 0.0000 0.0000 5.6381" Properties=species:S:1:pos:R:3 comment="PBE CeGePd2, relaxed" formation_enthalpy_0k_ev_per_atom=-0.806 total_energy_ev_per_atom=-6.04 n_ef_per_ev_atom=1.6061 pbc="T T T"
Ce 0.3650 1.7373 0.8678
Ce 3.5847 5.2118 3.6868
Ce 4.3147 1.7373 1.9513
Ce 7.5343 5.2118 4.7704
Ge 0.8927 5.2118 1.9157
Ge 3.0569 1.7373 4.7348
Ge 4.8424 5.2118 0.9034
Ge 7.0066 1.7373 3.7224
Pd 1.4140 0.3373 3.3570
Pd 1.4140 3.1372 3.3570
Pd 2.5356 3.8119 0.5379
Pd 2.5356 6.6118 0.5379
Pd 5.3637 0.3373 5.1002
Pd 5.3637 3.1372 5.1002
Pd 6.4853 3.8119 2.2812
Pd 6.4853 6.6118 2.2812

=====

(5)
16
Lattice="7.8071 0.0000 0.0000 0.0000 7.8071 0.0000 0.0000 0.0000 7.8071" Properties=species:S:1:pos:R:3 comment="PBE NaHgBiPb, relaxed" formation_enthalpy_0k_ev_per_atom=-0.192 total_energy_ev_per_atom=-2.49 n_ef_per_ev_atom=0.0203 pbc="T T T"
Na 0.0000 0.0000 0.0000
Na 0.0000 3.9035 3.9035
Na 3.9035 0.0000 3.9035
Na 3.9035 3.9035 0.0000
Hg 1.9518 1.9518 5.8553
Hg 1.9518 5.8553 1.9518
Hg 5.8553 1.9518 1.9518
Hg 5.8553 5.8553 5.8553
Bi 1.9518 1.9518 1.9518
Bi 1.9518 5.8553 5.8553
Bi 5.8553 1.9518 5.8553
Bi 5.8553 5.8553 1.9518
Pb 0.0000 0.0000 3.9035
Pb 0.0000 3.9035 0.0000
Pb 3.9035 0.0000 0.0000
Pb 3.9035 3.9035 3.9035

=====

(6)
12
Lattice="5.1519 0.0000 0.0000 0.0000 6.9852 0.0000 -2.5489 0.0000 8.0468" Properties=species:S:1:pos:R:3 comment="PBE Er3Cd2Co, relaxed" relative_energy_mev_per_atom=29.9 formation_enthalpy_0k_ev_per_atom=-0.235 total_energy_ev_per_atom=-4.01 n_ef_per_ev_atom=0.7086 pbc="T T T"
Er 0.2255 1.7463 0.0015
Er 0.0217 6.9843 6.0051
Er 0.0217 3.4935 6.0051
Er 2.5813 0.0009 2.0417
Er 2.5813 3.4917 2.0417
Er 2.3775 5.2389 8.0453
Cd 0.0034 1.7463 3.1903
Cd 0.0153 5.2389 3.1875
Cd 2.5877 1.7463 4.8593
Cd 2.5996 5.2389 4.8565
Co 2.3409 5.2389 0.0016
Co 0.2621 1.7463 8.0452